[1]
Crystalline Zr2IrW at its relaxed geometry, computed with GGA-PBE.

Cell: 2.930 2.930 8.813 Å, 90.00 90.00 90.00°
Element x y z (fractional)
Zr 0.000 0.000 0.000
Zr 0.500 0.500 0.314
Ir 0.000 0.000 0.551
W 0.500 0.500 0.746

total moment: 0.00 Bohr magnetons per cell
space group: P4mm
ΔH_f (0 K): -3.1 kcal/mol of atoms

[2]
Crystalline Li2Cd4AgHg2 at its relaxed geometry, computed with GGA-PBE.

Cell: 5.030 5.458 7.640 Å, 84.39 75.04 63.34°
Element x y z (fractional)
Li 0.222 0.013 0.171
Li 0.778 0.987 0.829
Cd 0.116 0.333 0.830
Cd 0.168 0.677 0.486
Cd 0.832 0.323 0.514
Cd 0.884 0.667 0.170
Ag 0.500 0.000 0.500
Hg 0.414 0.708 0.848
Hg 0.586 0.292 0.152

total moment: 0.00 Bohr magnetons per cell
space group: P-1
ΔH_f (0 K): -3.6 kcal/mol of atoms

[3]
Crystalline Na3DyEr2Te6 at its relaxed geometry, computed with GGA-PBE.

Cell: 7.633 7.633 7.983 Å, 99.17 99.17 120.00°
Element x y z (fractional)
Na 0.000 0.000 0.000
Na 0.334 0.666 0.000
Na 0.666 0.334 0.000
Dy 0.500 0.500 0.500
Er 0.167 0.833 0.500
Er 0.833 0.167 0.500
Te 0.088 0.423 0.269
Te 0.242 0.242 0.731
Te 0.423 0.088 0.269
Te 0.577 0.912 0.731
Te 0.758 0.758 0.269
Te 0.912 0.577 0.731

formation energy without anion corrections: -1308 meV per atom
total moment: 0.00 Bohr magnetons per cell
space group: C2/m

[4]
Crystalline LiCeMgAu at its relaxed geometry, computed with GGA-PBE.

Cell: 4.957 4.957 4.957 Å, 60.00 60.00 60.00°
Element x y z (fractional)
Li 0.000 0.000 0.000
Ce 0.250 0.250 0.250
Mg 0.750 0.750 0.750
Au 0.500 0.500 0.500

total moment: 0.55 Bohr magnetons per cell
space group: F-43m
ΔH_f (0 K): -7.9 kcal/mol of atoms

[5]
Crystalline La3Pm2Zn3 at its relaxed geometry, computed with GGA-PBE.

Cell: 11.607 11.607 11.607 Å, 161.27 152.89 33.15°
Element x y z (fractional)
La 0.000 0.000 0.000
La 0.382 0.882 0.500
La 0.618 0.118 0.500
Pm 0.229 0.229 0.000
Pm 0.771 0.771 0.000
Zn 0.119 0.619 0.500
Zn 0.500 0.500 0.000
Zn 0.881 0.381 0.500

total moment: 0.00 Bohr magnetons per cell
space group: Immm
ΔH_f (0 K): -5.3 kcal/mol of atoms

[6]
Crystalline Pr3BBr3 at its relaxed geometry, computed with GGA-PBE.

Cell: 10.213 10.213 10.213 Å, 109.47 109.47 109.47°
Element x y z (fractional)
Pr 0.017 0.035 0.267
Pr 0.017 0.483 0.750
Pr 0.035 0.267 0.017
Pr 0.233 0.267 0.750
Pr 0.233 0.465 0.483
Pr 0.267 0.017 0.035
Pr 0.267 0.750 0.233
Pr 0.465 0.483 0.233
Pr 0.483 0.233 0.465
Pr 0.483 0.750 0.017
Pr 0.750 0.017 0.483
Pr 0.750 0.233 0.267
B 0.000 0.250 0.500
B 0.250 0.250 0.250
B 0.250 0.500 0.000
B 0.500 0.000 0.250
Br 0.250 0.757 0.743
Br 0.250 0.993 0.507
Br 0.507 0.250 0.993
Br 0.507 0.757 0.515
Br 0.515 0.507 0.757
Br 0.743 0.250 0.757
Br 0.743 0.993 0.985
Br 0.757 0.515 0.507
Br 0.757 0.743 0.250
Br 0.985 0.743 0.993
Br 0.993 0.507 0.250
Br 0.993 0.985 0.743

formation energy without anion corrections: -1243 meV per atom
total moment: 0.00 Bohr magnetons per cell
space group: I4_132

> Number 5 is which compound?

La3Pm2Zn3